No. 1
DFT (PBE) results for crystalline NdZn4Tc at its relaxed geometry.

abc: 5.2267 5.2267 5.2267
angles: 60.00 60.00 60.00
Closest atoms and distances in Å follow each position.
Positions (direct):
Zn1 0.6232 0.6232 0.6232  6 Zn 2.58-2.65
Zn2 0.1304 0.6232 0.6232  6 Zn 2.58-2.65
Zn3 0.6232 0.6232 0.1304  6 Zn 2.58-2.65
Zn4 0.6232 0.1304 0.6232  6 Zn 2.58-2.65
Nd1 0.0000 0.0000 0.0000  12 Zn 3.07, 4 Tc 3.20
Tc1 0.2500 0.2500 0.2500  12 Zn 3.06, 4 Nd 3.20

Values from the calculation:
Its total energy is -20.814 eV/cell. Its energy of formation is -97.4 meV/atom. The symmetry is F-43m, No. 216.

---

No. 2
DFT (PBE) results for crystalline Tb6NdY5 at its relaxed geometry.

abc: 11.8549 6.1926 6.1884
angles: 59.98 85.04 80.04
Closest atoms and distances in Å follow each position.
Positions (direct):
Tb1 0.2512 0.9163 0.6666  5 Y 3.56-3.59, 6 Tb 3.57, 1 Nd 3.59
Tb2 0.7490 0.7503 0.0000  5 Y 3.56-3.59, 6 Tb 3.57, 1 Nd 3.58
Tb3 0.7488 0.0837 0.3334  5 Y 3.56-3.59, 6 Tb 3.57, 1 Nd 3.59
Tb4 0.7488 0.4171 0.6666  5 Y 3.56-3.59, 6 Tb 3.57, 1 Nd 3.59
Tb5 0.2512 0.5829 0.3334  5 Y 3.56-3.59, 6 Tb 3.57, 1 Nd 3.59
Tb6 0.2510 0.2497 0.0000  5 Y 3.56-3.59, 6 Tb 3.57, 1 Nd 3.58
Y1 0.5000 0.5000 0.0000  6 Tb 3.56, 6 Y 3.57-3.58
Y2 0.0000 0.3333 0.3334  3 Nd 3.57, 3 Y 3.57, 6 Tb 3.58-3.59
Y3 0.0000 0.6667 0.6666  3 Nd 3.57, 3 Y 3.57, 6 Tb 3.58-3.59
Y4 0.5000 0.8330 0.3339  6 Tb 3.56-3.57, 6 Y 3.57-3.58
Y5 0.5000 0.1670 0.6661  6 Tb 3.56-3.57, 6 Y 3.57-3.58
Nd1 0.0000 0.0000 0.0000  6 Y 3.57, 6 Tb 3.58-3.59

Values from the calculation:
Its total energy is -64.663 eV/cell. Its energy of formation is 17.3 meV/atom. The symmetry is C2/m, No. 12.

---

No. 3
DFT (PBE) results for crystalline SrRuW2 at its relaxed geometry.

abc: 5.7658 5.7658 5.7658
angles: 149.58 125.31 63.88
Closest atoms and distances in Å follow each position.
Positions (direct):
Sr1 0.2570 0.7570 0.5000  2 Sr 3.03, 8 W 3.05-3.33, 2 Ru 3.12
W1 0.9633 0.9633 0.0000  2 W 2.62
W2 0.7442 0.2442 0.5000  2 Ru 2.54, 2 W 2.62
Ru1 0.5355 0.5355 0.0000  2 W 2.54

Values from the calculation:
The value obtained for the excess energy over the best structure of this formula in the dataset is 302.6 meV per atom. Its total energy is -33.002 eV/cell. Its energy of formation is 965.4 meV/atom. The symmetry is Imm2, No. 44.

---

No. 4
DFT (PBE) results for crystalline Pm2ErTm5Th at its relaxed geometry.

abc: 8.6584 8.6584 9.7440
angles: 116.38 116.38 90.00
Closest atoms and distances in Å follow each position.
Positions (direct):
Pm1 0.8845 0.6155 0.0000  1 Pm 2.83, 2 Tm 2.98
Pm2 0.1155 0.3845 0.0000  1 Pm 2.83, 2 Tm 2.98
Pm3 0.3845 0.8845 0.0000  1 Pm 2.83, 2 Tm 2.98
Pm4 0.6155 0.1155 0.0000  1 Pm 2.83, 2 Tm 2.98
Tm1 0.0000 0.0000 0.0000  4 Pm 3.48, 8 Tm 3.74, 2 Th 3.79
Tm2 0.9261 0.4261 0.2777  1 Pm 2.98, 1 Er 3.10
Tm3 0.3516 0.8516 0.2777  1 Pm 2.98, 1 Er 3.10
Tm4 0.5739 0.6484 0.7223  1 Pm 2.98, 1 Er 3.10
Tm5 0.8516 0.9261 0.2777  1 Pm 2.98, 1 Er 3.10
Tm6 0.1484 0.0739 0.7223  1 Pm 2.98, 1 Er 3.10
Tm7 0.6484 0.1484 0.7223  1 Pm 2.98, 1 Er 3.10
Tm8 0.5000 0.5000 0.0000  4 Pm 3.48, 8 Tm 3.74, 2 Th 3.79
Tm9 0.0739 0.5739 0.7223  1 Pm 2.98, 1 Er 3.10
Tm10 0.4261 0.3516 0.2777  1 Pm 2.98, 1 Er 3.10
Er1 0.7500 0.2500 0.5000  4 Tm 3.10
Er2 0.2500 0.7500 0.5000  4 Tm 3.10
Th1 0.7500 0.7500 0.5000  10 Tm 3.52-3.79
Th2 0.2500 0.2500 0.5000  10 Tm 3.52-3.79

Values from the calculation:
Its total energy is -82.320 eV/cell. Its energy of formation is 297.9 meV/atom. The symmetry is I4/mcm, No. 140.

---

No. 5
DFT (PBE) results for crystalline SmZr2Ru3 at its relaxed geometry.

abc: 3.3187 3.3187 10.1727
angles: 90.00 90.00 90.00
Closest atoms and distances in Å follow each position.
Positions (direct):
Zr1 0.5000 0.5000 0.1623  8 Ru 2.80-2.87
Zr2 0.5000 0.5000 0.8377  8 Ru 2.80-2.87
Ru1 0.0000 0.0000 0.0000  8 Zr 2.87, 2 Ru 3.18
Ru2 0.0000 0.0000 0.6878  4 Zr 2.80, 4 Sm 3.03
Ru3 0.0000 0.0000 0.3122  4 Zr 2.80, 4 Sm 3.03
Sm1 0.5000 0.5000 0.5000  8 Ru 3.03, 4 Sm 3.32

Values from the calculation:
Its total energy is -52.640 eV/cell. Its energy of formation is -499.6 meV/atom. The symmetry is P4/mmm, No. 123.

---

No. 6
DFT (PBE) results for crystalline DyTh7Sc2 at its relaxed geometry.

abc: 4.9727 8.6141 10.5297
angles: 122.88 103.72 54.67
Closest atoms and distances in Å follow each position.
Positions (direct):
Th1 0.5000 0.5000 0.0000  2 Sc 3.49, 2 Dy 3.51, 8 Th 3.51-3.55
Th2 0.2002 0.4006 0.2008  8 Th 3.49-3.60, 2 Sc 3.51, 2 Dy 3.52
Th3 0.7014 0.9030 0.2085  3 Sc 3.44-3.46, 7 Th 3.49-3.60, 2 Dy 3.56
Th4 0.0981 0.7008 0.5975  4 Sc 3.48-3.55, 7 Th 3.49-3.53, 1 Dy 3.54
Th5 0.9019 0.2992 0.4025  4 Sc 3.48-3.55, 7 Th 3.49-3.53, 1 Dy 3.54
Th6 0.7998 0.5994 0.7992  8 Th 3.49-3.60, 2 Sc 3.51, 2 Dy 3.52
Th7 0.2986 0.0970 0.7915  3 Sc 3.44-3.46, 7 Th 3.49-3.60, 2 Dy 3.56
Sc1 0.6017 0.1992 0.6026  10 Th 3.44-3.55, 2 Sc 3.52
Sc2 0.3983 0.8008 0.3974  10 Th 3.44-3.55, 2 Sc 3.52
Dy1 0.0000 0.0000 0.0000  12 Th 3.51-3.56

Values from the calculation:
Its total energy is -68.642 eV/cell. Its energy of formation is 56.2 meV/atom. The symmetry is P-1, No. 2.

---

No. 7
DFT (PBE) results for crystalline Tm3CoPd2 at its relaxed geometry.

abc: 5.0007 6.6976 7.8485
angles: 89.99 110.82 90.01
Closest atoms and distances in Å follow each position.
Positions (direct):
Co1 0.8964 0.7499 0.9889  2 Tm 2.49-2.53
Co2 0.1036 0.2501 0.0111  2 Tm 2.49-2.53
Tm1 0.4160 0.7500 0.0165  2 Co 2.49-2.53, 1 Pd 2.76
Tm2 0.8581 0.4959 0.6981  2 Co 2.80-2.85, 6 Pd 2.83-3.12
Tm3 0.1419 0.5041 0.3019  2 Co 2.80-2.85, 6 Pd 2.83-3.12
Tm4 0.1419 0.9959 0.3018  2 Co 2.80-2.85, 6 Pd 2.83-3.12
Tm5 0.8581 0.0041 0.6982  2 Co 2.80-2.85, 6 Pd 2.83-3.12
Tm6 0.5840 0.2500 0.9835  2 Co 2.49-2.53, 1 Pd 2.76
Pd1 0.3411 0.7500 0.6409  7 Tm 2.84-3.12, 2 Pd 3.10-3.11, 1 Co 3.13
Pd2 0.2976 0.2499 0.6106  5 Tm 2.76-3.02
Pd3 0.7024 0.7501 0.3894  5 Tm 2.76-3.02
Pd4 0.6589 0.2500 0.3591  7 Tm 2.84-3.12, 2 Pd 3.10-3.11, 1 Co 3.13

Values from the calculation:
The value obtained for the excess energy over the best structure of this formula in the dataset is 117.7 meV per atom. Its total energy is -68.796 eV/cell. Its energy of formation is -582.0 meV/atom. The symmetry is P2_1/m, No. 11.

---

No. 8
DFT (PBE) results for crystalline Tm2PdS at its relaxed geometry.

abc: 3.7882 3.7882 7.5332
angles: 75.44 75.44 60.00
Closest atoms and distances in Å follow each position.
Positions (direct):
Pd1 0.6675 0.6675 0.9976  6 Tm 2.79-2.80
Tm1 0.2531 0.2531 0.2407  3 Pd 2.80, 3 S 2.90
Tm2 0.0808 0.0808 0.7577  3 Pd 2.79, 3 S 2.85
S1 0.4987 0.4987 0.5040  6 Tm 2.85-2.90

Values from the calculation:
The energy relative to the elements, uncorrected is -1266 meV/atom. The value obtained for the excess energy over the best structure of this formula in the dataset is 171.5 meV per atom. Its total energy is -23.325 eV/cell. The symmetry is R3m, No. 160.

---

No. 9
DFT (PBE) results for crystalline La6Ir2RhCl3 at its relaxed geometry.

abc: 7.2341 7.2341 8.0211
angles: 98.66 98.66 119.99
Closest atoms and distances in Å follow each position.
Positions (direct):
La1 0.5972 0.9317 0.7957  2 Ir 2.87, 1 Rh 2.88
La2 0.4028 0.0683 0.2043  2 Ir 2.87, 1 Rh 2.88
La3 0.7337 0.7337 0.2043  2 Ir 2.87, 1 Rh 2.88
La4 0.0683 0.4028 0.2043  2 Ir 2.87, 1 Rh 2.88
La5 0.9317 0.5972 0.7957  2 Ir 2.87, 1 Rh 2.88
La6 0.2663 0.2663 0.7957  2 Ir 2.87, 1 Rh 2.88
Ir1 0.6667 0.3333 0.0000  6 La 2.87
Ir2 0.3333 0.6667 0.0000  6 La 2.87
Cl1 0.1668 0.8332 0.5000  6 La 3.30-3.31
Cl2 0.5000 0.5000 0.5000  6 La 3.30-3.31
Cl3 0.8332 0.1668 0.5000  6 La 3.30-3.31
Rh1 0.0000 0.0000 0.0000  6 La 2.88

Values from the calculation:
The energy relative to the elements, uncorrected is -1323 meV/atom. Its total energy is -76.060 eV/cell. The symmetry is C2/m, No. 12.

---

No. 10
DFT (PBE) results for crystalline MnFeMo2 at its relaxed geometry.

abc: 3.1452 4.2182 4.1536
angles: 90.00 90.00 90.00
Closest atoms and distances in Å follow each position.
Positions (direct):
Mo1 0.0000 0.0000 0.0000  4 Fe 2.61, 4 Mo 2.63
Mo2 0.5000 0.5000 0.0000  4 Mn 2.61, 4 Mo 2.63
Fe1 0.5000 0.0000 0.5000  4 Mo 2.61, 4 Mn 2.63
Mn1 0.0000 0.5000 0.5000  4 Mo 2.61, 4 Fe 2.63

Values from the calculation:
The value obtained for the excess energy over the best structure of this formula in the dataset is 7.7 meV per atom. Its total energy is -38.828 eV/cell. Its energy of formation is 116.7 meV/atom. The symmetry is Pmmm, No. 47.

---

> Which value of total energy does entry 4 give?

-82.320 eV/cell